Record 1
As2OsCl | PBE-GGA | optimized geometry

CIF file:
```
data_As2OsCl
_chemical_formula_sum 'As6 Os3 Cl3'
_cell_length_a 3.1255
_cell_length_b 3.1255
_cell_length_c 27.0954
_cell_angle_alpha 90.00
_cell_angle_beta 90.00
_cell_angle_gamma 120.00
_symmetry_space_group_name_H-M 'R 3 m'
_symmetry_Int_Tables_number 160
_symmetry_space_group_name_Hall 'R 3 -2"'
loop_
_atom_site_label
_atom_site_type_symbol
_atom_site_fract_x
_atom_site_fract_y
_atom_site_fract_z
As1 As 0.0000 0.0000 0.0000
As2 As 0.0000 0.0000 0.2507
Os1 Os 0.0000 0.0000 0.5232
Cl1 Cl 0.0000 0.0000 0.7848
```

- M_tot: 0.00 μB per formula unit
- Energy relative to the lowest polymorph listed for this composition: 415 meV/atom
- DOS at the Fermi energy: 0.65 states/eV per atom
- Electronic total energy: -5.20 eV per atom

Record 2
AsOsCl4 | PBE-GGA | optimized geometry

CIF file:
```
data_AsOsCl4
_chemical_formula_sum 'As4 Os4 Cl16'
_cell_length_a 8.0311
_cell_length_b 8.0311
_cell_length_c 8.0311
_cell_angle_alpha 90.00
_cell_angle_beta 90.00
_cell_angle_gamma 90.00
_symmetry_space_group_name_H-M 'F -4 3 m'
_symmetry_Int_Tables_number 216
_symmetry_space_group_name_Hall 'F -4 2 3'
loop_
_atom_site_label
_atom_site_type_symbol
_atom_site_fract_x
_atom_site_fract_y
_atom_site_fract_z
As1 As 0.0000 0.0000 0.0000
Os1 Os 0.2500 0.2500 0.2500
Cl1 Cl 0.1242 0.1242 0.6242
```

- M_tot: 4.64 μB per formula unit
- DOS at the Fermi energy: 0.92 states/eV per atom
- Electronic total energy: -2.30 eV per atom

Record 3
AsOsCl | PBE-GGA | optimized geometry

CIF file:
```
data_AsOsCl
_chemical_formula_sum 'As1 Os1 Cl1'
_cell_length_a 3.7764
_cell_length_b 3.7764
_cell_length_c 5.9033
_cell_angle_alpha 90.00
_cell_angle_beta 90.00
_cell_angle_gamma 120.00
_symmetry_space_group_name_H-M 'P 3 m 1'
_symmetry_Int_Tables_number 156
_symmetry_space_group_name_Hall 'P 3 -2"'
loop_
_atom_site_label
_atom_site_type_symbol
_atom_site_fract_x
_atom_site_fract_y
_atom_site_fract_z
As1 As 0.0000 0.0000 0.0000
Os1 Os 0.3333 0.6667 0.8519
Cl1 Cl 0.6667 0.3333 0.5881
```

- M_tot: 0.00 μB per formula unit
- Energy relative to the lowest polymorph listed for this composition: 0 meV/atom
- Electronic total energy: -5.74 eV per atom

Record 4
As2OsCl | PBE-GGA | optimized geometry

CIF file:
```
data_As2OsCl
_chemical_formula_sum 'As8 Os4 Cl4'
_cell_length_a 6.4491
_cell_length_b 6.4491
_cell_length_c 6.4491
_cell_angle_alpha 90.00
_cell_angle_beta 90.00
_cell_angle_gamma 90.00
_symmetry_space_group_name_H-M 'F m -3 m'
_symmetry_Int_Tables_number 225
_symmetry_space_group_name_Hall '-F 4 2 3'
loop_
_atom_site_label
_atom_site_type_symbol
_atom_site_fract_x
_atom_site_fract_y
_atom_site_fract_z
As1 As 0.2500 0.2500 0.2500
Os1 Os 0.0000 0.0000 0.0000
Cl1 Cl 0.0000 0.0000 0.5000
```

- M_tot: 0.80 μB per formula unit
- Energy relative to the lowest polymorph listed for this composition: 813 meV/atom
- DOS at the Fermi energy: 0.73 states/eV per atom
- Electronic total energy: -4.80 eV per atom

Record 5
AsP2OsCl | PBE-GGA | optimized geometry

CIF file:
```
data_AsP2OsCl
_chemical_formula_sum 'As1 P2 Os1 Cl1'
_cell_length_a 4.7181
_cell_length_b 4.7181
_cell_length_c 4.5878
_cell_angle_alpha 90.00
_cell_angle_beta 90.00
_cell_angle_gamma 90.00
_symmetry_space_group_name_H-M 'P 4/m m m'
_symmetry_Int_Tables_number 123
_symmetry_space_group_name_Hall '-P 4 2'
loop_
_atom_site_label
_atom_site_type_symbol
_atom_site_fract_x
_atom_site_fract_y
_atom_site_fract_z
As1 As 0.0000 0.0000 0.0000
P1 P 0.0000 0.5000 0.0000
Os1 Os 0.5000 0.5000 0.5000
Cl1 Cl 0.0000 0.0000 0.5000
```

- M_tot: 2.41 μB per formula unit
- Energy relative to the lowest polymorph listed for this composition: 909 meV/atom
- DOS at the Fermi energy: 0.94 states/eV per atom
- Electronic total energy: -4.08 eV per atom

Record 6
AsP2OsCl | PBE-GGA | optimized geometry

CIF file:
```
data_AsP2OsCl
_chemical_formula_sum 'As1 P2 Os1 Cl1'
_cell_length_a 4.5631
_cell_length_b 4.5631
_cell_length_c 4.8929
_cell_angle_alpha 90.00
_cell_angle_beta 90.00
_cell_angle_gamma 90.00
_symmetry_space_group_name_H-M 'P 4/m m m'
_symmetry_Int_Tables_number 123
_symmetry_space_group_name_Hall '-P 4 2'
loop_
_atom_site_label
_atom_site_type_symbol
_atom_site_fract_x
_atom_site_fract_y
_atom_site_fract_z
As1 As 0.0000 0.0000 0.0000
P1 P 0.0000 0.5000 0.5000
Os1 Os 0.5000 0.5000 0.5000
Cl1 Cl 0.5000 0.5000 0.0000
```

- M_tot: 0.59 μB per formula unit
- Energy relative to the lowest polymorph listed for this composition: 0 meV/atom
- DOS at the Fermi energy: 0.92 states/eV per atom
- Electronic total energy: -4.99 eV per atom

Record 7
AsOsPbCl2 | PBE-GGA | optimized geometry

CIF file:
```
data_AsOsPbCl2
_chemical_formula_sum 'As1 Os1 Pb1 Cl2'
_cell_length_a 4.7525
_cell_length_b 4.7525
_cell_length_c 6.2325
_cell_angle_alpha 90.00
_cell_angle_beta 90.00
_cell_angle_gamma 90.00
_symmetry_space_group_name_H-M 'P 4/m m m'
_symmetry_Int_Tables_number 123
_symmetry_space_group_name_Hall '-P 4 2'
loop_
_atom_site_label
_atom_site_type_symbol
_atom_site_fract_x
_atom_site_fract_y
_atom_site_fract_z
As1 As 0.0000 0.0000 0.0000
Os1 Os 0.5000 0.5000 0.5000
Pb1 Pb 0.0000 0.0000 0.5000
Cl1 Cl 0.0000 0.5000 0.0000
```

- M_tot: 3.00 μB per formula unit
- DOS at the Fermi energy: 2.13 states/eV per atom
- Electronic total energy: -3.58 eV per atom

Record 8
AsOsSCl2 | PBE-GGA | optimized geometry

CIF file:
```
data_AsOsSCl2
_chemical_formula_sum 'As1 Os1 S1 Cl2'
_cell_length_a 4.9318
_cell_length_b 4.9318
_cell_length_c 4.9757
_cell_angle_alpha 90.00
_cell_angle_beta 90.00
_cell_angle_gamma 90.00
_symmetry_space_group_name_H-M 'P 4/m m m'
_symmetry_Int_Tables_number 123
_symmetry_space_group_name_Hall '-P 4 2'
loop_
_atom_site_label
_atom_site_type_symbol
_atom_site_fract_x
_atom_site_fract_y
_atom_site_fract_z
As1 As 0.0000 0.0000 0.0000
Os1 Os 0.5000 0.5000 0.5000
S1 S 0.0000 0.0000 0.5000
Cl1 Cl 0.0000 0.5000 0.0000
```

- M_tot: 4.64 μB per formula unit
- Energy relative to the lowest polymorph listed for this composition: 651 meV/atom
- DOS at the Fermi energy: 1.25 states/eV per atom
- Electronic total energy: -3.48 eV per atom